The following is a meta-GGA SCAN calculation of MgNiSbI2 at its PBEsol-relaxed geometry, from the Alexandria database.

The structure belongs to space group P4/mmm (No. 123); the cell edges are 5.2602, 5.2602 and 4.9169 Å and the angles 90.00°, 90.00° and 90.00°. The distinct sites, in fractional coordinates, are Mg at (0.0000, 0.0000, 0.0000), Ni at (0.5000, 0.5000, 0.5000), Sb at (0.5000, 0.5000, 0.0000) and I at (0.0000, 0.5000, 0.5000).

The value obtained for the raw formation energy is 25 kJ/mol of atoms. The value obtained for the energy is -130.62 eV per cell. As for the total magnetic moment: 0.0 μB/f.u.